Below is PrHo5Sc2 after structural relaxation, with properties calculated at the GGA-PBE level.

a b c (Å): 11.2570 12.1037 7.0215
angles (deg): 90.00 90.00 90.00
Element x y z (fractional)
Pr (0.2468, 0.0790, 0.0000)
Pr (0.2532, 0.5790, 0.0000)
Pr (0.7468, 0.4210, 0.0000)
Pr (0.7532, 0.9210, 0.0000)
Ho (0.0002, 0.2474, 0.0000)
Ho (0.0000, 0.5000, 0.2551)
Ho (0.0000, 0.5000, 0.7449)
Ho (0.9998, 0.7526, 0.0000)
Ho (0.0010, 0.2460, 0.5000)
Ho (0.2489, 0.8327, 0.2555)
Ho (0.2489, 0.8327, 0.7445)
Ho (0.2511, 0.3327, 0.2555)
Ho (0.2511, 0.3327, 0.7445)
Ho (0.4990, 0.7460, 0.5000)
Ho (0.5000, 0.0000, 0.2551)
Ho (0.5000, 0.0000, 0.7449)
Ho (0.5002, 0.2526, 0.0000)
Ho (0.4998, 0.7474, 0.0000)
Ho (0.5010, 0.2540, 0.5000)
Ho (0.7489, 0.6673, 0.2555)
Ho (0.7489, 0.6673, 0.7445)
Ho (0.7511, 0.1673, 0.2555)
Ho (0.7511, 0.1673, 0.7445)
Ho (0.9990, 0.7540, 0.5000)
Sc (0.0000, 0.0000, 0.2582)
Sc (0.0000, 0.0000, 0.7418)
Sc (0.2463, 0.0831, 0.5000)
Sc (0.2537, 0.5831, 0.5000)
Sc (0.5000, 0.5000, 0.2582)
Sc (0.5000, 0.5000, 0.7418)
Sc (0.7463, 0.4169, 0.5000)
Sc (0.7537, 0.9169, 0.5000)

Properties
Formation enthalpy at 0 K = 0.3 eV/f.u.
Excess energy over the best structure of this formula in the dataset = 0 kJ/mol of formula units
Energy = -0.1840 Ha/atom
Total magnetic moment = 0.0 μB per formula unit
Density = 7.33 Mg/m³
Volume = 29.90 Å³ per atom

***

Below is MnPb after structural relaxation, with properties calculated at the GGA-PBE level.

a b c (Å): 8.6759 8.6759 4.7051
angles (deg): 90.00 90.00 90.00
Element x y z (fractional)
Mn (0.1626, 0.1626, 0.0000)
Mn (0.1626, 0.8374, 0.0000)
Mn (0.3374, 0.3374, 0.5000)
Mn (0.3374, 0.6626, 0.5000)
Mn (0.6626, 0.3374, 0.5000)
Mn (0.6626, 0.6626, 0.5000)
Mn (0.8374, 0.1626, 0.0000)
Mn (0.8374, 0.8374, 0.0000)
Pb (0.0000, 0.2777, 0.5000)
Pb (0.0000, 0.7223, 0.5000)
Pb (0.2223, 0.5000, 0.0000)
Pb (0.2777, 0.0000, 0.5000)
Pb (0.5000, 0.2223, 0.0000)
Pb (0.5000, 0.7777, 0.0000)
Pb (0.7223, 0.0000, 0.5000)
Pb (0.7777, 0.5000, 0.0000)

Properties
Formation enthalpy at 0 K = 1.0 eV/f.u.
Energy = -0.2188 Ha/atom
Total magnetic moment = 3.6 μB per formula unit
Density = 9.83 Mg/m³
Volume = 22.13 Å³ per atom

***

Below is Ac3Te2Au after structural relaxation, with properties calculated at the GGA-PBE level.

a b c (Å): 4.6796 4.6811 10.5691
angles (deg): 102.77 102.76 90.02
Element x y z (fractional)
Ac (0.0000, 0.0000, 0.0000)
Ac (0.3206, 0.3221, 0.6448)
Ac (0.6606, 0.6608, 0.3224)
Te (0.4896, 0.4896, 0.9791)
Te (0.8310, 0.8325, 0.6656)
Au (0.1607, 0.1606, 0.3224)

Properties
Raw formation energy = -1241 meV/atom
Energy = -0.1797 Ha/atom
Total magnetic moment = 0.0 μB per formula unit
Density = 8.56 Mg/m³
Volume = 36.65 Å³ per atom

***

Below is Tb4Co3Rh after structural relaxation, with properties calculated at the GGA-PBE level.

a b c (Å): 3.9356 3.9786 10.5129
angles (deg): 90.00 90.00 90.00
Element x y z (fractional)
Tb (0.0000, 0.0000, 0.0000)
Tb (0.0000, 0.5000, 0.4953)
Tb (0.5000, 0.0000, 0.7120)
Tb (0.5000, 0.5000, 0.2089)
Co (0.0000, 0.0000, 0.3009)
Co (0.5000, 0.0000, 0.4070)
Co (0.5000, 0.5000, 0.9345)
Rh (0.0000, 0.5000, 0.7794)

Properties
Formation enthalpy at 0 K = -2.7 eV/f.u.
Energy = -0.2292 Ha/atom
Total magnetic moment = 0.7 μB per formula unit
Density = 9.23 Mg/m³
Volume = 20.58 Å³ per atom

***

Below is CeHI3 after structural relaxation, with properties calculated at the GGA-PBE level.

a b c (Å): 9.3193 9.3193 9.3193
angles (deg): 53.51 53.51 53.51
Element x y z (fractional)
Ce (0.1664, 0.1664, 0.1664)
Ce (0.8336, 0.8336, 0.8336)
H (0.4141, 0.4141, 0.4141)
H (0.5859, 0.5859, 0.5859)
I (0.0852, 0.0852, 0.5842)
I (0.0852, 0.5842, 0.0852)
I (0.4158, 0.9148, 0.9148)
I (0.5842, 0.0852, 0.0852)
I (0.9148, 0.4158, 0.9148)
I (0.9148, 0.9148, 0.4158)

Properties
Excess energy over the best structure of this formula in the dataset = 95 kJ/mol of formula units
Energy = -0.1249 Ha/atom
Total magnetic moment = 2.0 μB per formula unit
Density = 3.57 Mg/m³
Volume = 48.54 Å³ per atom

***

Below is CePmCu3 after structural relaxation, with properties calculated at the GGA-PBE level.

a b c (Å): 13.4806 13.4806 4.3594
angles (deg): 90.00 90.00 164.83
Element x y z (fractional)
Ce (0.0702, 0.9298, 0.7500)
Ce (0.9298, 0.0702, 0.2500)
Pm (0.2030, 0.7970, 0.2500)
Pm (0.7970, 0.2030, 0.7500)
Cu (0.3337, 0.6663, 0.2500)
Cu (0.3843, 0.6157, 0.7500)
Cu (0.4771, 0.5229, 0.7500)
Cu (0.5229, 0.4771, 0.2500)
Cu (0.6157, 0.3843, 0.2500)
Cu (0.6663, 0.3337, 0.7500)

Properties
Formation enthalpy at 0 K = -0.7 eV/f.u.
Energy = -0.1743 Ha/atom
Total magnetic moment = 0.6 μB per formula unit
Density = 7.62 Mg/m³
Volume = 20.73 Å³ per atom

***

Below is SnRu2Rh after structural relaxation, with properties calculated at the GGA-PBE level.

a b c (Å): 5.7501 5.7501 11.3764
angles (deg): 90.00 90.00 90.00
Element x y z (fractional)
Sn (0.0000, 0.0000, 0.0000)
Sn (0.0000, 0.5000, 0.2500)
Sn (0.5000, 0.0000, 0.7500)
Sn (0.5000, 0.5000, 0.5000)
Ru (0.2136, 0.2500, 0.6250)
Ru (0.2500, 0.7136, 0.8750)
Ru (0.2500, 0.7864, 0.3750)
Ru (0.2864, 0.2500, 0.1250)
Ru (0.7136, 0.7500, 0.1250)
Ru (0.7500, 0.2136, 0.3750)
Ru (0.7500, 0.2864, 0.8750)
Ru (0.7864, 0.7500, 0.6250)
Rh (0.0000, 0.0000, 0.5000)
Rh (0.0000, 0.5000, 0.7500)
Rh (0.5000, 0.0000, 0.2500)
Rh (0.5000, 0.5000, 0.0000)

Properties
Formation enthalpy at 0 K = 4.1 eV/f.u.
Energy = -0.2367 Ha/atom
Total magnetic moment = 0.0 μB per formula unit
Density = 7.48 Mg/m³
Volume = 23.51 Å³ per atom

***

Below is HoGePb2 after structural relaxation, with properties calculated at the GGA-PBE level.

a b c (Å): 3.4831 3.4831 33.9544
angles (deg): 90.00 90.00 120.00
Element x y z (fractional)
Ho (0.0000, 0.0000, 0.0000)
Ho (0.3333, 0.6667, 0.6667)
Ho (0.6667, 0.3333, 0.3333)
Ge (0.0000, 0.0000, 0.5000)
Ge (0.3333, 0.6667, 0.1667)
Ge (0.6667, 0.3333, 0.8333)
Pb (0.0000, 0.0000, 0.0941)
Pb (0.0000, 0.0000, 0.9059)
Pb (0.3333, 0.6667, 0.5726)
Pb (0.3333, 0.6667, 0.7607)
Pb (0.6667, 0.3333, 0.2393)
Pb (0.6667, 0.3333, 0.4274)

Properties
Formation enthalpy at 0 K = 0.9 eV/f.u.
Energy = -0.1445 Ha/atom
Total magnetic moment = 0.0 μB per formula unit
Density = 9.10 Mg/m³
Volume = 29.73 Å³ per atom

***

Below is BaDy2MoN4 after structural relaxation, with properties calculated at the GGA-PBE level.

a b c (Å): 6.4599 6.4599 12.1258
angles (deg): 90.00 90.00 148.55
Element x y z (fractional)
Ba (0.0793, 0.9207, 0.7500)
Ba (0.9207, 0.0793, 0.2500)
Dy (0.3713, 0.6287, 0.5387)
Dy (0.3713, 0.6287, 0.9613)
Dy (0.6287, 0.3713, 0.0387)
Dy (0.6287, 0.3713, 0.4613)
Mo (0.1831, 0.8169, 0.2500)
Mo (0.8169, 0.1831, 0.7500)
N (0.0000, 0.0000, 0.0000)
N (0.0000, 0.0000, 0.5000)
N (0.2560, 0.7440, 0.1124)
N (0.2560, 0.7440, 0.3876)
N (0.4005, 0.5995, 0.7500)
N (0.5995, 0.4005, 0.2500)
N (0.7440, 0.2560, 0.6124)
N (0.7440, 0.2560, 0.8876)

Properties
Raw formation energy = -1068 meV/atom
Energy = -0.2931 Ha/atom
Total magnetic moment = 0.7 μB per formula unit
Density = 7.73 Mg/m³
Volume = 16.50 Å³ per atom

***

Below is CeMgCdGa after structural relaxation, with properties calculated at the GGA-PBE level.

a b c (Å): 7.1709 7.1709 7.1709
angles (deg): 90.00 90.00 90.00
Element x y z (fractional)
Ce (0.0000, 0.0000, 0.0000)
Ce (0.0000, 0.5000, 0.5000)
Ce (0.5000, 0.0000, 0.5000)
Ce (0.5000, 0.5000, 0.0000)
Mg (0.0000, 0.0000, 0.5000)
Mg (0.0000, 0.5000, 0.0000)
Mg (0.5000, 0.0000, 0.0000)
Mg (0.5000, 0.5000, 0.5000)
Cd (0.2500, 0.2500, 0.7500)
Cd (0.2500, 0.7500, 0.2500)
Cd (0.7500, 0.2500, 0.2500)
Cd (0.7500, 0.7500, 0.7500)
Ga (0.2500, 0.2500, 0.2500)
Ga (0.2500, 0.7500, 0.7500)
Ga (0.7500, 0.2500, 0.7500)
Ga (0.7500, 0.7500, 0.2500)

Properties
Formation enthalpy at 0 K = -1.3 eV/f.u.
Energy = -0.1172 Ha/atom
Total magnetic moment = 0.9 μB per formula unit
Density = 6.24 Mg/m³
Volume = 23.05 Å³ per atom

***

Below is Li2Ho2TmIn2 after structural relaxation, with properties calculated at the GGA-PBE level.

a b c (Å): 9.1955 9.1955 9.1955
angles (deg): 30.38 30.38 30.38
Element x y z (fractional)
Li (0.1060, 0.1060, 0.1060)
Li (0.8940, 0.8940, 0.8940)
Ho (0.3728, 0.3728, 0.3728)
Ho (0.6272, 0.6272, 0.6272)
Tm (0.5000, 0.5000, 0.5000)
In (0.2373, 0.2373, 0.2373)
In (0.7627, 0.7627, 0.7627)

Properties
Formation enthalpy at 0 K = -1.5 eV/f.u.
Energy = -0.1281 Ha/atom
Total magnetic moment = 0.0 μB per formula unit
Density = 6.99 Mg/m³
Volume = 25.17 Å³ per atom

***

Below is NdYMgSc after structural relaxation, with properties calculated at the GGA-PBE level.

a b c (Å): 7.7083 7.7083 7.7083
angles (deg): 90.00 90.00 90.00
Element x y z (fractional)
Nd (0.0000, 0.0000, 0.0000)
Nd (0.0000, 0.5000, 0.5000)
Nd (0.5000, 0.0000, 0.5000)
Nd (0.5000, 0.5000, 0.0000)
Y (0.0000, 0.0000, 0.5000)
Y (0.0000, 0.5000, 0.0000)
Y (0.5000, 0.0000, 0.0000)
Y (0.5000, 0.5000, 0.5000)
Mg (0.2500, 0.2500, 0.7500)
Mg (0.2500, 0.7500, 0.2500)
Mg (0.7500, 0.2500, 0.2500)
Mg (0.7500, 0.7500, 0.7500)
Sc (0.2500, 0.2500, 0.2500)
Sc (0.2500, 0.7500, 0.7500)
Sc (0.7500, 0.2500, 0.7500)
Sc (0.7500, 0.7500, 0.2500)

Properties
Formation enthalpy at 0 K = 0.1 eV/f.u.
Excess energy over the best structure of this formula in the dataset = 9 kJ/mol of formula units
Energy = -0.1755 Ha/atom
Total magnetic moment = 0.0 μB per formula unit
Density = 4.39 Mg/m³
Volume = 28.63 Å³ per atom

***

Question: total magnetic moment of number 5 (CeHI3)?
Answer: 2.0 μB per formula unit

***

Question: The lowest energy belongs to which entry?
Answer: BaDy2MoN4

***

Question: The lowest density belongs to which entry?
Answer: CeHI3

***

Repeat the tenth record exactly.
Below is CeMgCdGa after structural relaxation, with properties calculated at the GGA-PBE level.

a b c (Å): 7.1709 7.1709 7.1709
angles (deg): 90.00 90.00 90.00
Element x y z (fractional)
Ce (0.0000, 0.0000, 0.0000)
Ce (0.0000, 0.5000, 0.5000)
Ce (0.5000, 0.0000, 0.5000)
Ce (0.5000, 0.5000, 0.0000)
Mg (0.0000, 0.0000, 0.5000)
Mg (0.0000, 0.5000, 0.0000)
Mg (0.5000, 0.0000, 0.0000)
Mg (0.5000, 0.5000, 0.5000)
Cd (0.2500, 0.2500, 0.7500)
Cd (0.2500, 0.7500, 0.2500)
Cd (0.7500, 0.2500, 0.2500)
Cd (0.7500, 0.7500, 0.7500)
Ga (0.2500, 0.2500, 0.2500)
Ga (0.2500, 0.7500, 0.7500)
Ga (0.7500, 0.2500, 0.7500)
Ga (0.7500, 0.7500, 0.2500)

Properties
Formation enthalpy at 0 K = -1.3 eV/f.u.
Energy = -0.1172 Ha/atom
Total magnetic moment = 0.9 μB per formula unit
Density = 6.24 Mg/m³
Volume = 23.05 Å³ per atom